{
  "formula": "CrS6F2",
  "functional": "PBE+U",
  "state": "relaxed",
  "dft_energy_ev_per_atom": -4.648,
  "lattice": [[4.7714, -5.7229, 0.0000], [4.7714, 5.7229, 0.0000], [-0.0718, 0.0000, 3.5045]],
  "species": ["Cr", "S", "S", "S", "S", "S", "S", "F", "F"],
  "frac_coords": [[0.0000, 0.0000, 0.0000], [0.2571, 0.5458, 0.1155], [0.3048, 0.3048, 0.8603], [0.4542, 0.7429, 0.8845], [0.5458, 0.2571, 0.1155], [0.6952, 0.6952, 0.1397], [0.7429, 0.4542, 0.8845], [0.1065, 0.8935, 0.5000], [0.8935, 0.1065, 0.5000]]
}